Here is LiTlCd2 at its PBEsol-relaxed geometry from Alexandria via LeMat-Bulk. Energies are from meta-GGA SCAN.

Summary:
The symmetry is Pmm2. As for the final energy: -136.0 eV/cell.

Unit cell a=3.193 b=4.118 c=6.433 alpha=90.00 beta=90.00 gamma=90.00
Fractional coordinates of all 4 atoms:
Li 0.000 0.000 0.491
Cd 0.500 0.500 0.258
Cd 0.000 0.000 0.017
Tl 0.500 0.500 0.734



Here is LiTlCd2 at its PBEsol-relaxed geometry from Alexandria via LeMat-Bulk. Energies are from meta-GGA SCAN.

Summary:
The symmetry is P4/mmm. As for the final energy: -136.1 eV/cell.

Unit cell a=4.321 b=4.321 c=4.520 alpha=90.00 beta=90.00 gamma=90.00
Fractional coordinates of all 4 atoms:
Li 0.500 0.500 0.500
Cd 0.500 0.000 0.000
Cd 0.000 0.500 0.000
Tl 0.000 0.000 0.500